# NdSmSn | Alexandria via LeMat-Bulk | PBE | relaxed
data_NdSmSn
_chemical_formula_sum 'Nd1 Sm1 Sn1'
_cell_length_a 4.1880
_cell_length_b 4.1880
_cell_length_c 5.8109
_cell_angle_alpha 111.12
_cell_angle_beta 111.12
_cell_angle_gamma 90.00
_symmetry_space_group_name_H-M 'P 1'
_symmetry_Int_Tables_number 1
loop_
_symmetry_equiv_pos_as_xyz
'x,y,z'
loop_
_atom_site_label
_atom_site_fract_x
_atom_site_fract_y
_atom_site_fract_z
Sn1 0.2847 0.2847 0.5695
Nd1 0.6268 0.6268 0.2536
Sm1 0.9385 0.9385 0.8769
# magnetic moment = 0.00 μB/cell
# DOS(E_F) = 3.65 states/eV per cell
# total DFT energy (no corrections) = -14.94 eV/cell
# energy relative to the elements = -483 meV/atom
# energy above the lowest structure with this stoichiometry = 115.4 meV/atom
# ρ = 7.827 g cm⁻³